--- P ---
Sc4NiTe PBE relaxed; theoretical density = 4.55 g/cm3
1.0
0.0000 4.0577 4.0577
4.0577 0.0000 4.0577
4.0577 4.0577 0.0000
Sc Ni Te
4 1 1
Direct
0.1254 0.1254 0.1254
0.1254 0.1254 0.6239
0.1254 0.6239 0.1254
0.6239 0.1254 0.1254
0.5000 0.5000 0.5000
0.7500 0.7500 0.7500

---

--- Q ---
Sc4NiTe PBE relaxed; theoretical density = 4.77 g/cm3
1.0
7.6548 0.0000 0.0000
0.0000 3.6982 0.0000
0.0000 0.0000 18.0067
Sc Ni Te
16 4 4
Direct
0.0119 0.2500 0.0672
0.0452 0.7500 0.2122
0.1411 0.7500 0.6484
0.1415 0.7500 0.4509
0.3585 0.2500 0.9509
0.3589 0.2500 0.1484
0.4548 0.2500 0.7122
0.4881 0.7500 0.5672
0.5119 0.2500 0.4328
0.5452 0.7500 0.2878
0.6411 0.7500 0.8516
0.6415 0.7500 0.0491
0.8585 0.2500 0.5491
0.8589 0.2500 0.3516
0.9548 0.2500 0.7878
0.9881 0.7500 0.9328
0.2379 0.2500 0.5522
0.2621 0.7500 0.0522
0.7379 0.2500 0.9478
0.7621 0.7500 0.4478
0.2409 0.2500 0.3127
0.2591 0.7500 0.8127
0.7409 0.2500 0.1873
0.7591 0.7500 0.6873

---

--- R ---
Sc4NiTe PBE relaxed; theoretical density = 4.19 g/cm3
1.0
7.9903 -3.1992 0.0000
7.9903 3.1992 0.0000
-2.1148 0.0000 5.6762
Sc Ni Te
8 2 2
Direct
0.0499 0.1940 0.1858
0.1940 0.0499 0.6858
0.2179 0.4111 0.1793
0.4111 0.2179 0.6793
0.5889 0.7821 0.3207
0.7821 0.5889 0.8207
0.8060 0.9501 0.3142
0.9501 0.8060 0.8142
0.0000 0.5000 0.5000
0.5000 0.0000 0.0000
0.2633 0.7367 0.2500
0.7367 0.2633 0.7500

---

Which one sits at the top of the stability order? Q does.

---

--- P ---
ThScNi PBE relaxed; theoretical density = 8.44 g/cm3
1.0
0.0000 5.0457 9.3671
2.7938 0.0000 9.3671
2.7938 5.0457 0.0000
Th Sc Ni
4 4 4
Direct
0.0372 0.7128 0.0372
0.2872 0.9628 0.2872
0.7128 0.0372 0.7128
0.9628 0.2872 0.9628
0.2882 0.2882 0.4618
0.4618 0.4618 0.2882
0.5382 0.5382 0.7118
0.7118 0.7118 0.5382
0.0011 0.0011 0.7489
0.2511 0.2511 0.9989
0.7489 0.7489 0.0011
0.9989 0.9989 0.2511

---

--- Q ---
ThScNi PBE relaxed; theoretical density = 8.38 g/cm3
1.0
-1.6635 1.6635 6.0075
1.6635 -1.6635 6.0075
1.6635 1.6635 -6.0075
Th Sc Ni
1 1 1
Direct
0.0000 0.0000 0.0000
0.2730 0.2730 0.0000
0.6592 0.6592 0.0000

---

Which one sits at the top of the stability order? P does.

---

--- P ---
Th2ScNi PBE relaxed; theoretical density = 8.79 g/cm3
1.0
1.7390 1.0040 10.2322
-1.7390 1.0040 10.2322
0.0000 -2.0080 10.2322
Th Sc Ni
2 1 1
Direct
0.1030 0.1030 0.1030
0.8970 0.8970 0.8970
0.0000 0.0000 0.0000
0.5000 0.5000 0.5000

---

--- Q ---
Th2ScNi PBE relaxed; theoretical density = 9.33 g/cm3
1.0
3.5340 0.0000 0.0000
0.0000 3.5340 0.0000
0.0000 0.0000 8.0880
Th Sc Ni
2 1 1
Direct
0.0000 0.0000 0.2067
0.0000 0.0000 0.7933
0.5000 0.5000 0.5000
0.5000 0.5000 0.0000

---

Which one sits at the top of the stability order? Q does.

---

--- P ---
ScTi2Ni2 PBE relaxed; theoretical density = 5.20 g/cm3
1.0
-1.8359 1.8359 6.1087
1.8359 -1.8359 6.1087
1.8359 1.8359 -6.1087
Sc Ti Ni
1 2 2
Direct
0.0000 0.0000 0.0000
0.3834 0.3834 0.0000
0.6166 0.6166 0.0000
0.2500 0.7500 0.5000
0.7500 0.2500 0.5000

---

--- Q ---
ScTi2Ni2 PBE relaxed; theoretical density = 5.18 g/cm3
1.0
-2.0847 2.0847 4.7561
2.0847 -2.0847 4.7561
2.0847 2.0847 -4.7561
Sc Ti Ni
1 2 2
Direct
0.0000 0.0000 0.0000
0.2500 0.7500 0.5000
0.7500 0.2500 0.5000
0.3813 0.3813 0.0000
0.6187 0.6187 0.0000

---

--- R ---
ScTi2Ni2 PBE relaxed; theoretical density = 5.65 g/cm3
1.0
7.2968 0.0000 0.0000
0.0000 7.2968 0.0000
0.0000 0.0000 2.8483
Sc Ti Ni
2 4 4
Direct
0.0000 0.0000 0.0000
0.5000 0.5000 0.0000
0.1504 0.3496 0.0000
0.3496 0.8496 0.0000
0.6504 0.1504 0.0000
0.8496 0.6504 0.0000
0.1420 0.6420 0.5000
0.3580 0.1420 0.5000
0.6420 0.8580 0.5000
0.8580 0.3580 0.5000

---

--- S ---
ScTi2Ni2 PBE relaxed; theoretical density = 5.53 g/cm3
1.0
7.1661 0.0000 0.0000
0.0000 7.1661 0.0000
0.0000 0.0000 3.0161
Sc Ti Ni
2 4 4
Direct
0.0000 0.0000 0.0000
0.5000 0.5000 0.0000
0.1630 0.3370 0.5000
0.3370 0.8370 0.5000
0.6630 0.1630 0.5000
0.8370 0.6630 0.5000
0.1264 0.6264 0.0000
0.3736 0.1264 0.0000
0.6264 0.8736 0.0000
0.8736 0.3736 0.0000

---

Which one sits at the top of the stability order? S does.

---

--- P ---
ScTiNi PBE relaxed; theoretical density = 4.77 g/cm3
1.0
6.5991 -2.0863 0.0000
6.5991 2.0863 0.0000
-0.6135 0.0000 7.6665
Sc Ti Ni
4 4 4
Direct
0.0556 0.0556 0.3444
0.4196 0.4196 0.1562
0.5804 0.5804 0.8438
0.9444 0.9444 0.6556
0.1996 0.1996 0.0600
0.2163 0.2163 0.6515
0.7837 0.7837 0.3485
0.8004 0.8004 0.9400
0.3719 0.3719 0.8253
0.3808 0.3808 0.4792
0.6192 0.6192 0.5208
0.6281 0.6281 0.1747

---

--- Q ---
ScTiNi PBE relaxed; theoretical density = 4.93 g/cm3
1.0
4.3727 0.0000 0.0000
0.0000 5.5096 3.1753
0.0000 -5.5096 3.1753
Sc Ti Ni
3 3 3
Direct
0.0000 0.0000 0.0000
0.0000 0.1754 0.5876
0.0000 0.5876 0.1754
0.5000 0.3294 0.3294
0.5000 0.5880 0.8459
0.5000 0.8459 0.5880
0.0000 0.5874 0.5874
0.5000 0.2549 0.9212
0.5000 0.9212 0.2549

---

Which one sits at the top of the stability order? Q does.